Here is a relaxed structure of Nd3Zr from Alexandria via LeMat-Bulk. Energies are from PBE.

Geometry as CIF:
```
data_Nd3Zr
_space_group_name_H-M_alt 'F m -3 m'
_space_group_IT_number 225
_space_group_name_Hall '-F 4 2 3'
_cell_length_a 7.928
_cell_length_b 7.928
_cell_length_c 7.928
_cell_angle_alpha 90.00
_cell_angle_beta 90.00
_cell_angle_gamma 90.00
loop_
_atom_site_label
_atom_site_type_symbol
_atom_site_fract_x
_atom_site_fract_y
_atom_site_fract_z
_atom_site_occupancy
Nd1 Nd 0.000 0.000 0.000 1
Nd2 Nd 0.250 0.250 0.250 1
Zr1 Zr 0.000 0.000 0.500 1
```

Calculated values
Energy of formation = 0.247 eV per atom
Magnetization = 0.83 μB per formula unit
Excess energy over the best structure of this formula in the dataset = 0.1052 eV/atom
Electronic total energy = -5.466 eV per atom

Here is a relaxed structure of Rb2CoSiAu from Alexandria via LeMat-Bulk. Energies are from PBE.

Geometry as CIF:
```
data_Rb2CoSiAu
_space_group_name_H-M_alt 'P 4/m m m'
_space_group_IT_number 123
_space_group_name_Hall '-P 4 2'
_cell_length_a 6.795
_cell_length_b 6.795
_cell_length_c 4.597
_cell_angle_alpha 90.00
_cell_angle_beta 90.00
_cell_angle_gamma 90.00
loop_
_atom_site_label
_atom_site_type_symbol
_atom_site_fract_x
_atom_site_fract_y
_atom_site_fract_z
_atom_site_occupancy
Rb1 Rb 0.000 0.500 0.000 1
Co1 Co 0.000 0.000 0.500 1
Si1 Si 0.500 0.500 0.500 1
Au1 Au 0.500 0.500 0.000 1
```

Calculated values
Magnetization = 2.31 μB per formula unit
Raw formation energy = 3.38 eV/f.u.
Electronic total energy = -2.873 eV per atom

Here is a relaxed structure of Tb2Dy3Al3 from Alexandria via LeMat-Bulk. Energies are from PBE.

Geometry as CIF:
```
data_Tb2Dy3Al3
_space_group_name_H-M_alt 'P m m m'
_space_group_IT_number 47
_cell_length_a 4.793
_cell_length_b 4.794
_cell_length_c 8.831
_cell_angle_alpha 90.00
_cell_angle_beta 90.00
_cell_angle_gamma 90.00
loop_
_space_group_symop_operation_xyz
'x,y,z'
'-x,-y,-z'
'-x,-y,z'
'x,y,-z'
'x,-y,-z'
'-x,y,z'
'-x,y,-z'
'x,-y,z'
loop_
_atom_site_label
_atom_site_type_symbol
_atom_site_fract_x
_atom_site_fract_y
_atom_site_fract_z
_atom_site_occupancy
Tb1 Tb 0.000 0.000 0.228 1
Dy1 Dy 0.000 0.500 0.500 1
Dy2 Dy 0.500 0.500 0.226 1
Al1 Al 0.000 0.500 0.000 1
Al2 Al 0.500 0.000 0.000 1
Al3 Al 0.500 0.000 0.500 1
```

Calculated values
Energy of formation = -0.274 eV per atom
Magnetization = 0.00 μB per formula unit
Excess energy over the best structure of this formula in the dataset = 0.0209 eV/atom
Electronic total energy = -4.561 eV per atom